## Na2FeO4 (PBE with a Hubbard U)

Data for a geometry-optimized Na2FeO4 structure.

```
Na2FeO4
1.0
5.978 0.000 0.000
0.000 8.715 0.000
0.000 0.000 7.848
Na Fe O
8 4 16
Direct
0.000 0.000 0.241 Na
0.000 0.000 0.759 Na
0.118 0.317 0.000 Na
0.382 0.817 0.500 Na
0.500 0.500 0.259 Na
0.500 0.500 0.741 Na
0.618 0.183 0.500 Na
0.882 0.683 0.000 Na
0.126 0.253 0.500 Fe
0.374 0.753 0.000 Fe
0.626 0.247 0.000 Fe
0.874 0.747 0.500 Fe
0.037 0.736 0.329 O
0.037 0.736 0.671 O
0.172 0.883 0.000 O
0.241 0.077 0.500 O
0.259 0.577 0.000 O
0.328 0.383 0.500 O
0.463 0.236 0.171 O
0.463 0.236 0.829 O
0.537 0.764 0.171 O
0.537 0.764 0.829 O
0.672 0.617 0.500 O
0.741 0.423 0.000 O
0.759 0.923 0.500 O
0.828 0.117 0.000 O
0.963 0.264 0.329 O
0.963 0.264 0.671 O
```

Values from the calculation:
magnetization	0.28	μB/atom
V	14.6	Å³/atom
SG	Pnnm
polymorph energy (0 for the lowest one)	0.027	eV/atom